Record 1
## Ac2Ce3Co2 (GGA-PBE)

Data for an optimized crystal structure of Ac2Ce3Co2.

space group	No. 12
spin magnetization	0.00	μB/cell
formation enthalpy at 0 K	-95	meV/atom

Geometry as extended XYZ:
```
7
Lattice="6.0471 -1.8747 0.0000 6.0471 1.8747 0.0000 -3.4366 0.0000 8.3375" Properties=species:S:1:pos:R:3 pbc="T T T"
Ac 1.0173 0.0000 2.4257
Ac 7.6404 0.0000 5.9118
Ce 4.2963 0.0000 0.6625
Ce 4.3288 0.0000 4.1688
Ce 4.3614 0.0000 7.6751
Co -1.1276 0.0000 6.0102
Co 9.7852 0.0000 2.3273
```

Record 2
## Er6SnRu2 (GGA-PBE)

Data for an optimized crystal structure of Er6SnRu2.

space group	No. 71
spin magnetization	0.00	μB/cell
formation enthalpy at 0 K	-473	meV/atom

Geometry as extended XYZ:
```
18
Lattice="-4.6358 4.7138 5.2108 4.6358 -4.7138 5.2108 4.6358 4.7138 -5.2108" Properties=species:S:1:pos:R:3 pbc="T T T"
Er 4.6358 2.7591 -2.7136
Er 2.6796 1.7116 0.0000
Er 6.5920 1.7116 0.0000
Er 1.7419 4.7138 -1.7413
Er 2.8939 0.0000 3.4694
Er 0.0000 1.9547 2.4972
Er 4.6358 2.7591 2.7136
Er 1.7419 4.7138 1.7413
Er 2.8939 0.0000 6.9521
Er -1.9562 3.0022 5.2108
Er 1.9562 3.0022 5.2108
Er 0.0000 1.9547 7.9244
Sn 0.0000 0.0000 0.0000
Sn 0.0000 0.0000 5.2108
Ru 4.6358 0.0000 1.3694
Ru 0.0000 3.0717 0.0000
Ru 0.0000 6.3559 0.0000
Ru 0.0000 4.7138 3.8414
```

Record 3
## U2Si4Os3Rh (GGA-PBE)

Data for an optimized crystal structure of U2Si4Os3Rh.

raw formation energy	-513	meV/atom
space group	No. 115
spin magnetization	0.01	μB/cell

Geometry as extended XYZ:
```
10
Lattice="4.0921 0.0000 0.0000 0.0000 4.0921 0.0000 0.0000 0.0000 9.8712" Properties=species:S:1:pos:R:3 pbc="T T T"
U 0.0000 2.0460 2.4370
U 2.0460 0.0000 7.4343
Si 0.0000 0.0000 0.0000
Si 0.0000 2.0460 6.1922
Si 2.0460 0.0000 3.6790
Si 2.0460 2.0460 0.0000
Os 0.0000 2.0460 8.5529
Os 2.0460 0.0000 1.3183
Os 2.0460 2.0460 4.9356
Rh 0.0000 0.0000 4.9356
```